Below is crystalline PmAsHPd at its relaxed geometry, with properties calculated at the PBE level.

POSCAR file:
```
PmAsHPd
1.0
4.587 0.000 0.000
2.293 3.972 0.000
2.293 1.324 3.745
H As Pd Pm
1 1 1 1
Cartesian
6.880 3.972 2.809
0.000 0.000 0.000
2.293 1.324 0.936
4.587 2.648 1.873
```

Output
- DFT total energy (eV per atom) = -4.95
- V (Å³ per cell) = 68.2

***

Below is crystalline PmAsHPd at its relaxed geometry, with properties calculated at the PBE level.

POSCAR file:
```
PmAsHPd
1.0
-2.786 -3.130 -1.243
4.227 -0.283 -1.076
0.720 -1.970 3.346
Pm As H Pd
1 1 1 1
Cartesian
-0.765 -2.435 0.160
1.500 -4.694 0.773
1.580 -1.506 0.249
1.919 -2.434 1.825
```

Output
- DFT total energy (eV per atom) = -5.40
- V (Å³ per cell) = 65.3

***

Below is crystalline Pm2AsHPd6 at its relaxed geometry, with properties calculated at the PBE level.

POSCAR file:
```
Pm2AsHPd6
1.0
5.769 0.013 0.008
-0.016 6.858 0.744
2.870 3.972 4.824
Pm As H Pd
2 1 1 6
Cartesian
5.757 4.064 2.867
2.867 6.779 2.708
0.000 0.000 0.000
2.877 3.436 0.376
2.874 3.394 2.384
7.179 8.817 5.189
4.308 8.810 5.185
4.316 2.033 0.390
1.445 2.027 0.386
5.750 7.449 3.192
```

Output
- DFT total energy (eV per atom) = -5.54
- V (Å³ per cell) = 173.7

***

Below is crystalline PrAsHPd at its relaxed geometry, with properties calculated at the PBE level.

POSCAR file:
```
PrAsHPd
1.0
-0.040 3.295 -2.925
-3.763 -1.340 1.861
0.528 2.638 2.965
Pr As H Pd
1 1 1 1
Cartesian
-0.402 2.497 -0.500
-2.652 4.072 1.306
-1.637 0.996 1.145
-1.388 2.223 2.524
```

Output
- DFT total energy (eV per atom) = -5.41
- V (Å³ per cell) = 67.3

***

Below is crystalline PrAsHPd2 at its relaxed geometry, with properties calculated at the PBE level.

POSCAR file:
```
PrAsHPd2
1.0
-1.875 -3.052 2.058
5.411 -1.521 -1.473
2.516 2.762 6.390
Pr As H Pd
2 2 2 4
Cartesian
5.812 -0.602 4.402
0.241 -1.209 2.572
2.937 -0.808 5.624
3.116 -1.003 1.350
0.000 0.000 0.000
1.258 1.381 3.195
3.787 1.648 5.895
2.265 -3.459 1.079
2.809 0.573 3.409
3.244 -2.384 3.565
```

Output
- DFT total energy (eV per atom) = -5.42
- V (Å³ per cell) = 166.1

***

Below is crystalline PrAsH2Pd at its relaxed geometry, with properties calculated at the PBE level.

POSCAR file:
```
PrAsH2Pd
1.0
-2.608 -1.589 -2.720
1.530 -3.794 3.824
-5.168 1.833 3.886
Pr As H Pd
2 2 4 2
Cartesian
-5.083 -1.391 2.613
-1.163 -2.159 2.377
-3.679 -2.628 5.064
-2.567 -0.922 -0.074
-4.789 0.232 4.458
-1.458 -3.782 0.532
-2.816 -0.468 2.974
-3.430 -3.082 2.016
0.000 0.000 0.000
-2.584 0.916 1.943
```

Output
- DFT total energy (eV per atom) = -4.93
- V (Å³ per cell) = 143.3